Compound: VP2PdO
Source: the Alexandria database
Functional: PBE+U
Structure: relaxed

abc: 4.702 4.702 3.558
angles: 90.00 90.00 90.00
Fractional positions:
P (0.000, 0.500, 0.000)
P (0.500, 0.000, 0.000)
O (0.000, 0.000, 0.500)
Pd (0.500, 0.500, 0.500)
V (0.000, 0.000, 0.000)

Computed properties:
Energy above the lowest structure with this stoichiometry ... 0 meV per atom



Compound: PPdWO2
Source: the Alexandria database
Functional: PBE+U
Structure: relaxed

abc: 3.791 3.791 5.333
angles: 90.00 90.00 90.00
Fractional positions:
O (0.000, 0.500, 0.000)
O (0.500, 0.000, 0.000)
P (0.000, 0.000, 0.500)
Pd (0.500, 0.500, 0.500)
W (0.000, 0.000, 0.000)

Computed properties:
Energy above the lowest structure with this stoichiometry ... 0 meV per atom



Compound: PPdWO2
Source: the Alexandria database
Functional: PBE+U
Structure: relaxed

abc: 3.915 3.915 4.918
angles: 90.00 90.00 90.00
Fractional positions:
O (0.000, 0.500, 0.000)
O (0.500, 0.000, 0.000)
P (0.000, 0.000, 0.500)
Pd (0.000, 0.000, 0.000)
W (0.500, 0.500, 0.500)

Computed properties:
Energy above the lowest structure with this stoichiometry ... 1159 meV per atom



Compound: P2PdWO
Source: the Alexandria database
Functional: PBE+U
Structure: relaxed

abc: 4.818 4.818 3.772
angles: 90.00 90.00 90.00
Fractional positions:
O (0.000, 0.000, 0.500)
P (0.000, 0.500, 0.000)
P (0.500, 0.000, 0.000)
Pd (0.500, 0.500, 0.500)
W (0.000, 0.000, 0.000)

Computed properties:
Energy above the lowest structure with this stoichiometry ... 0 meV per atom



Compound: P2PdWO
Source: the Alexandria database
Functional: PBE+U
Structure: relaxed

abc: 4.714 4.714 3.869
angles: 90.00 90.00 90.00
Fractional positions:
O (0.000, 0.000, 0.500)
P (0.000, 0.500, 0.000)
P (0.500, 0.000, 0.000)
Pd (0.000, 0.000, 0.000)
W (0.500, 0.500, 0.500)

Computed properties:
Energy above the lowest structure with this stoichiometry ... 744 meV per atom



M_tot: 0.005; 0.111; 0.455; 0.000; 0.386 (μB per atom)
DOS at the Fermi energy: 3.139; 2.060; 4.136; 2.016; 3.337 (states/eV/cell)